## Al2SbOs (PBE)

Data for a geometry-optimized Al2SbOs structure.

Cell and atoms, written as CIF:
```
data_Al2SbOs
_chemical_formula_sum 'Al2 Sb1 Os1'
_symmetry_space_group_name_H-M 'P 1'
_symmetry_Int_Tables_number 1
_cell_length_a 3.3053
_cell_length_b 4.7238
_cell_length_c 4.4182
_cell_angle_alpha 90.00
_cell_angle_beta 90.00
_cell_angle_gamma 90.00
loop_
_symmetry_equiv_pos_as_xyz
'x,y,z'
loop_
_atom_site_label
_atom_site_type_symbol
_atom_site_fract_x
_atom_site_fract_y
_atom_site_fract_z
Al1 Al 0.5000 0.5000 0.0000
Al2 Al 0.0000 0.0000 0.0000
Sb1 Sb 0.0000 0.5000 0.5000
Os1 Os 0.5000 0.0000 0.5000
```

Formation energy from raw total energies (eV/atom): 0.35

***

## La2TiGe4Au3 (PBE)

Data for a geometry-optimized La2TiGe4Au3 structure.

Cell and atoms, written as CIF:
```
data_La2TiGe4Au3
_chemical_formula_sum 'La2 Ti1 Ge4 Au3'
_symmetry_space_group_name_H-M 'P 1'
_symmetry_Int_Tables_number 1
_cell_length_a 4.3700
_cell_length_b 4.3700
_cell_length_c 11.2089
_cell_angle_alpha 90.00
_cell_angle_beta 90.00
_cell_angle_gamma 90.00
loop_
_symmetry_equiv_pos_as_xyz
'x,y,z'
loop_
_atom_site_label
_atom_site_type_symbol
_atom_site_fract_x
_atom_site_fract_y
_atom_site_fract_z
Ge1 Ge 0.5000 0.5000 0.0000
Ge2 Ge 0.0000 0.0000 0.0000
Ge3 Ge 0.5000 0.0000 0.6337
Ge4 Ge 0.0000 0.5000 0.3663
La1 La 0.0000 0.5000 0.7539
La2 La 0.5000 0.0000 0.2461
Au1 Au 0.0000 0.5000 0.1375
Au2 Au 0.5000 0.0000 0.8625
Au3 Au 0.0000 0.0000 0.5000
Ti1 Ti 0.5000 0.5000 0.5000
```

DFT formation energy (eV/f.u.): -6.23

***

## Tl2CuBr2Cl2 (PBE)

Data for a geometry-optimized Tl2CuBr2Cl2 structure.

Cell and atoms, written as CIF:
```
data_Tl2CuBr2Cl2
_chemical_formula_sum 'Tl2 Cu1 Br2 Cl2'
_symmetry_space_group_name_H-M 'P 1'
_symmetry_Int_Tables_number 1
_cell_length_a 4.9724
_cell_length_b 4.9724
_cell_length_c 8.9189
_cell_angle_alpha 106.19
_cell_angle_beta 106.19
_cell_angle_gamma 90.00
loop_
_symmetry_equiv_pos_as_xyz
'x,y,z'
loop_
_atom_site_label
_atom_site_type_symbol
_atom_site_fract_x
_atom_site_fract_y
_atom_site_fract_z
Tl1 Tl 0.3634 0.3634 0.7269
Tl2 Tl 0.6366 0.6366 0.2731
Br1 Br 0.8450 0.8450 0.6899
Br2 Br 0.1550 0.1550 0.3101
Cl1 Cl 0.0000 0.5000 0.0000
Cl2 Cl 0.5000 0.0000 0.0000
Cu1 Cu 0.0000 0.0000 0.0000
```

Formation energy from raw total energies (eV/atom): -0.69

***

## Mo2Ru2Pb (PBE)

Data for a geometry-optimized Mo2Ru2Pb structure.

Cell and atoms, written as CIF:
```
data_Mo2Ru2Pb
_chemical_formula_sum 'Mo2 Ru2 Pb1'
_symmetry_space_group_name_H-M 'P 1'
_symmetry_Int_Tables_number 1
_cell_length_a 4.1775
_cell_length_b 4.1775
_cell_length_c 6.1675
_cell_angle_alpha 70.20
_cell_angle_beta 70.20
_cell_angle_gamma 90.00
loop_
_symmetry_equiv_pos_as_xyz
'x,y,z'
loop_
_atom_site_label
_atom_site_type_symbol
_atom_site_fract_x
_atom_site_fract_y
_atom_site_fract_z
Mo1 Mo 0.7500 0.2500 0.5000
Mo2 Mo 0.2500 0.7500 0.5000
Pb1 Pb 0.0000 0.0000 0.0000
Ru1 Ru 0.6182 0.6182 0.7637
Ru2 Ru 0.3818 0.3818 0.2363
```

DFT formation energy (eV/f.u.): 1.98
Energy relative to the lowest polymorph listed for this composition (eV/atom): 0.079

***

## K2CaBe (PBE)

Data for a geometry-optimized K2CaBe structure.

Cell and atoms, written as CIF:
```
data_K2CaBe
_chemical_formula_sum 'K2 Ca1 Be1'
_symmetry_space_group_name_H-M 'P 1'
_symmetry_Int_Tables_number 1
_cell_length_a 3.9369
_cell_length_b 3.9369
_cell_length_c 11.0962
_cell_angle_alpha 90.00
_cell_angle_beta 90.00
_cell_angle_gamma 90.19
loop_
_symmetry_equiv_pos_as_xyz
'x,y,z'
loop_
_atom_site_label
_atom_site_type_symbol
_atom_site_fract_x
_atom_site_fract_y
_atom_site_fract_z
Ca1 Ca 0.5000 0.5000 0.7500
K1 K 0.0000 0.0000 0.4388
K2 K 0.0000 0.0000 0.0612
Be1 Be 0.5000 0.5000 0.2500
```

DFT formation energy (eV/f.u.): 2.76

***

## KZn2NiPd (PBE)

Data for a geometry-optimized KZn2NiPd structure.

Cell and atoms, written as CIF:
```
data_KZn2NiPd
_chemical_formula_sum 'K1 Zn2 Ni1 Pd1'
_symmetry_space_group_name_H-M 'P 1'
_symmetry_Int_Tables_number 1
_cell_length_a 4.7019
_cell_length_b 4.9058
_cell_length_c 4.7019
_cell_angle_alpha 90.00
_cell_angle_beta 90.00
_cell_angle_gamma 90.00
loop_
_symmetry_equiv_pos_as_xyz
'x,y,z'
loop_
_atom_site_label
_atom_site_type_symbol
_atom_site_fract_x
_atom_site_fract_y
_atom_site_fract_z
Zn1 Zn 0.0000 0.0000 0.5000
Zn2 Zn 0.5000 0.0000 0.0000
Pd1 Pd 0.0000 0.5000 0.0000
Ni1 Ni 0.0000 0.0000 0.0000
K1 K 0.5000 0.5000 0.5000
```

DFT formation energy (eV/f.u.): 0.87

***

## Ba2MgPb2 (PBE)

Data for a geometry-optimized Ba2MgPb2 structure.

Cell and atoms, written as CIF:
```
data_Ba2MgPb2
_chemical_formula_sum 'Ba4 Mg2 Pb4'
_symmetry_space_group_name_H-M 'P 1'
_symmetry_Int_Tables_number 1
_cell_length_a 7.1316
_cell_length_b 7.7213
_cell_length_c 9.0928
_cell_angle_alpha 115.12
_cell_angle_beta 113.09
_cell_angle_gamma 90.00
loop_
_symmetry_equiv_pos_as_xyz
'x,y,z'
loop_
_atom_site_label
_atom_site_type_symbol
_atom_site_fract_x
_atom_site_fract_y
_atom_site_fract_z
Pb1 Pb 0.8877 0.1697 0.7754
Pb2 Pb 0.3877 0.6056 0.7754
Pb3 Pb 0.1123 0.8303 0.2246
Pb4 Pb 0.6123 0.3944 0.2246
Ba1 Ba 0.8582 0.6649 0.7164
Ba2 Ba 0.1418 0.3351 0.2836
Ba3 Ba 0.3582 0.0515 0.7164
Ba4 Ba 0.6418 0.9485 0.2836
Mg1 Mg 0.2500 0.5000 0.0000
Mg2 Mg 0.7500 0.5000 0.0000
```

DFT formation energy (eV/f.u.): -1.92
Energy relative to the lowest polymorph listed for this composition (eV/atom): 0.111

***

## Pm7Ru2Rh2 (PBE)

Data for a geometry-optimized Pm7Ru2Rh2 structure.

Cell and atoms, written as CIF:
```
data_Pm7Ru2Rh2
_chemical_formula_sum 'Pm7 Ru2 Rh2'
_symmetry_space_group_name_H-M 'P 1'
_symmetry_Int_Tables_number 1
_cell_length_a 6.8617
_cell_length_b 6.9801
_cell_length_c 6.8617
_cell_angle_alpha 97.37
_cell_angle_beta 111.75
_cell_angle_gamma 82.63
loop_
_symmetry_equiv_pos_as_xyz
'x,y,z'
loop_
_atom_site_label
_atom_site_type_symbol
_atom_site_fract_x
_atom_site_fract_y
_atom_site_fract_z
Ru1 Ru 0.8313 0.5000 0.8313
Ru2 Ru 0.1687 0.5000 0.1687
Pm1 Pm 0.0278 0.7221 0.4686
Pm2 Pm 0.0000 0.0000 0.0000
Pm3 Pm 0.5314 0.7221 0.9722
Pm4 Pm 0.4686 0.2779 0.0278
Pm5 Pm 0.9722 0.2779 0.5314
Pm6 Pm 0.5265 0.7355 0.4735
Pm7 Pm 0.4735 0.2645 0.5265
Rh1 Rh 0.7019 0.0041 0.2981
Rh2 Rh 0.2981 0.9959 0.7019
```

DFT formation energy (eV/f.u.): -2.04
Energy relative to the lowest polymorph listed for this composition (eV/atom): 0.210

***

## HoGe2Pt7 (PBE)

Data for a geometry-optimized HoGe2Pt7 structure.

Cell and atoms, written as CIF:
```
data_HoGe2Pt7
_chemical_formula_sum 'Ho1 Ge2 Pt7'
_symmetry_space_group_name_H-M 'P 1'
_symmetry_Int_Tables_number 1
_cell_length_a 4.0901
_cell_length_b 4.0901
_cell_length_c 10.6784
_cell_angle_alpha 101.04
_cell_angle_beta 101.04
_cell_angle_gamma 90.00
loop_
_symmetry_equiv_pos_as_xyz
'x,y,z'
loop_
_atom_site_label
_atom_site_type_symbol
_atom_site_fract_x
_atom_site_fract_y
_atom_site_fract_z
Pt1 Pt 0.3973 0.8973 0.7947
Pt2 Pt 0.1027 0.6027 0.2053
Pt3 Pt 0.5000 0.5000 0.0000
Pt4 Pt 0.2500 0.7500 0.5000
Pt5 Pt 0.7500 0.2500 0.5000
Pt6 Pt 0.8973 0.3973 0.7947
Pt7 Pt 0.6027 0.1027 0.2053
Ge1 Ge 0.3249 0.3249 0.6499
Ge2 Ge 0.6751 0.6751 0.3501
Ho1 Ho 0.0000 0.0000 0.0000
```

DFT formation energy (eV/f.u.): -6.90
Energy relative to the lowest polymorph listed for this composition (eV/atom): 0.000

***

## Ho6CoRh5 (PBE)

Data for a geometry-optimized Ho6CoRh5 structure.

Cell and atoms, written as CIF:
```
data_Ho6CoRh5
_chemical_formula_sum 'Ho6 Co1 Rh5'
_symmetry_space_group_name_H-M 'P 1'
_symmetry_Int_Tables_number 1
_cell_length_a 4.8001
_cell_length_b 6.8043
_cell_length_c 7.6024
_cell_angle_alpha 90.00
_cell_angle_beta 71.45
_cell_angle_gamma 90.00
loop_
_symmetry_equiv_pos_as_xyz
'x,y,z'
loop_
_atom_site_label
_atom_site_type_symbol
_atom_site_fract_x
_atom_site_fract_y
_atom_site_fract_z
Rh1 Rh 0.6666 0.0000 0.6668
Rh2 Rh 0.3334 0.0000 0.3332
Rh3 Rh 0.0000 0.5000 0.0000
Rh4 Rh 0.3325 0.5000 0.3348
Rh5 Rh 0.6675 0.5000 0.6652
Ho1 Ho 0.5000 0.7525 0.0000
Ho2 Ho 0.1654 0.2488 0.6692
Ho3 Ho 0.8346 0.2488 0.3308
Ho4 Ho 0.1654 0.7512 0.6692
Ho5 Ho 0.5000 0.2475 0.0000
Ho6 Ho 0.8346 0.7512 0.3308
Co1 Co 0.0000 0.0000 0.0000
```

DFT formation energy (eV/f.u.): -9.35

***

## LaTaAl2Ag (PBE)

Data for a geometry-optimized LaTaAl2Ag structure.

Cell and atoms, written as CIF:
```
data_LaTaAl2Ag
_chemical_formula_sum 'La1 Ta1 Al2 Ag1'
_symmetry_space_group_name_H-M 'P 1'
_symmetry_Int_Tables_number 1
_cell_length_a 4.7705
_cell_length_b 5.5523
_cell_length_c 4.7705
_cell_angle_alpha 90.00
_cell_angle_beta 90.00
_cell_angle_gamma 90.00
loop_
_symmetry_equiv_pos_as_xyz
'x,y,z'
loop_
_atom_site_label
_atom_site_type_symbol
_atom_site_fract_x
_atom_site_fract_y
_atom_site_fract_z
Al1 Al 0.0000 0.0000 0.5000
Al2 Al 0.5000 0.0000 0.0000
Ta1 Ta 0.5000 0.5000 0.5000
Ag1 Ag 0.0000 0.0000 0.0000
La1 La 0.0000 0.5000 0.0000
```

DFT formation energy (eV/f.u.): 4.34

***

## VCrP (PBE)

Data for a geometry-optimized VCrP structure.

Cell and atoms, written as CIF:
```
data_VCrP
_chemical_formula_sum 'V2 Cr2 P2'
_symmetry_space_group_name_H-M 'P 1'
_symmetry_Int_Tables_number 1
_cell_length_a 3.0465
_cell_length_b 4.4420
_cell_length_c 6.1065
_cell_angle_alpha 110.98
_cell_angle_beta 90.01
_cell_angle_gamma 69.96
loop_
_symmetry_equiv_pos_as_xyz
'x,y,z'
loop_
_atom_site_label
_atom_site_type_symbol
_atom_site_fract_x
_atom_site_fract_y
_atom_site_fract_z
Cr1 Cr 0.3961 0.3910 0.2358
Cr2 Cr 0.7300 0.7373 0.0603
V1 V 0.3978 0.3896 0.7379
V2 V 0.7283 0.7387 0.5582
P1 P 0.0629 0.0642 0.9056
P2 P 0.0632 0.0641 0.3905
```

DFT formation energy (eV/f.u.): -1.03